Rh2PbBr at its PBEsol-relaxed geometry, computed with SCAN.

For the raw formation energy, the calculation gives 354.1 meV/atom.

Structure (extended XYZ):
```
4
Lattice="-1.207 1.272 2.731 -2.077 -3.822 0.863 4.929 -1.680 1.032" Properties=species:S:1:pos:R:3 pbc="T T T"
Br -1.449 -1.026 1.766
Pb 0.621 -3.622 1.961
Rh 1.660 -4.157 4.599
Rh 0.816 -0.930 2.722
```

---

RhPbSe2Br at its PBEsol-relaxed geometry, computed with SCAN.

For the raw formation energy, the calculation gives 894.2 meV/atom.

Structure (extended XYZ):
```
5
Lattice="-3.415 -2.434 -3.292 3.917 -3.190 -1.705 -1.219 -3.592 3.921" Properties=species:S:1:pos:R:3 pbc="T T T"
Pb 0.000 0.000 0.000
Rh -0.359 -4.608 -0.538
Se 1.958 -1.595 -0.853
Se -1.708 -1.217 -1.646
Br -0.609 -1.796 1.961
```

---

Ru2PbBr at its PBEsol-relaxed geometry, computed with SCAN.

For the raw formation energy, the calculation gives 927.9 meV/atom.

Structure (extended XYZ):
```
4
Lattice="3.035 0.000 0.000 0.000 4.406 0.000 0.000 0.000 5.315" Properties=species:S:1:pos:R:3 pbc="T T T"
Br 1.517 2.203 0.000
Pb 0.000 2.203 2.658
Ru 0.000 0.000 0.000
Ru 1.517 0.000 2.658
```

---

Sn2RuPbBr at its PBEsol-relaxed geometry, computed with SCAN.

For the raw formation energy, the calculation gives 1052.0 meV/atom.

Structure (extended XYZ):
```
5
Lattice="5.109 0.000 0.000 0.000 5.739 0.000 0.000 0.000 5.739" Properties=species:S:1:pos:R:3 pbc="T T T"
Pb 0.000 0.000 0.000
Ru 2.554 0.000 0.000
Sn 0.000 0.000 2.869
Sn 0.000 2.869 0.000
Br 2.554 2.869 2.869
```

---

SrPb2SBr at its PBEsol-relaxed geometry, computed with SCAN.

For the raw formation energy, the calculation gives -243.9 meV/atom.

Structure (extended XYZ):
```
5
Lattice="-3.549 -3.753 0.692 3.510 -3.581 -1.417 1.991 -0.664 6.610" Properties=species:S:1:pos:R:3 pbc="T T T"
Pb 1.755 -1.790 -0.709
Pb -1.774 -1.876 0.346
Sr 0.977 -3.999 2.942
S 0.000 0.000 0.000
Br 0.996 -0.332 3.305
```

---

SbPbBr at its PBEsol-relaxed geometry, computed with SCAN.

For the raw formation energy, the calculation gives -73.0 meV/atom. Its energy above the most stable polymorph in this dataset is 0 meV per atom.

Structure (extended XYZ):
```
3
Lattice="-1.851 1.981 -2.401 2.632 -2.216 -1.127 -4.983 -5.546 -0.734" Properties=species:S:1:pos:R:3 pbc="T T T"
Pb -3.738 -3.182 -2.474
Sb -0.563 -2.710 -1.802
Br -4.883 -5.434 -0.720
```

---

SbPbBr at its PBEsol-relaxed geometry, computed with SCAN.

For the raw formation energy, the calculation gives 497.0 meV/atom. Its energy above the most stable polymorph in this dataset is 570 meV per atom.

Structure (extended XYZ):
```
3
Lattice="-3.414 -1.762 -3.382 1.575 -2.686 -4.063 -0.967 -5.019 -0.282" Properties=species:S:1:pos:R:3 pbc="T T T"
Pb 0.000 0.000 0.000
Sb -1.403 -4.733 -3.864
Br -0.702 -2.367 -1.932
```

---

Sb2PbBr at its PBEsol-relaxed geometry, computed with SCAN.

For the raw formation energy, the calculation gives -114.9 meV/atom. Its energy above the most stable polymorph in this dataset is 0 meV per atom.

Structure (extended XYZ):
```
4
Lattice="-2.652 -2.218 -2.309 3.019 1.017 -3.616 3.212 -5.130 1.239" Properties=species:S:1:pos:R:3 pbc="T T T"
Pb 0.280 -3.674 -0.535
Sb -0.120 -0.405 -1.366
Sb 0.486 -0.796 -4.559
Br 3.115 -2.057 -1.188
```

---

| no. | N(E_F) (states/eV/atom) | final energy (eV/cell) |
| --- | --- | --- |
| 1 | 0.984 | -161.37 |
| 2 | 0.746 | -164.70 |
| 3 | 0.747 | -161.18 |
| 4 | 0.617 | -196.65 |
| 5 | 1.219 | -204.14 |
| 6 | 0.366 | -132.72 |
| 7 | 1.042 | -131.01 |
| 8 | 0.448 | -170.22 |